The following is a DFT calculation (PBE) of a relaxed structure of NaTiAg2F8.

The structure belongs to space group P-3m1 (No. 164); the cell edges are 5.6044, 5.6044 and 6.9083 Å and the angles 90.00°, 90.00° and 120.00°. Symmetry generates all atoms from Na at (0.0000, 0.0000, 0.0000), Ti at (0.0000, 0.0000, 0.5000), Ag at (0.3333, 0.6667, 0.3606), F at (0.1585, 0.3171, 0.6584) and F at (0.3333, 0.6667, 0.0655).

As for the energy relative to the elements, uncorrected: -2.150 eV per atom. As for the uncorrected energy: -55.7 eV for the cell shown. For the density of states at the Fermi level, the calculation gives 5.09 states/eV/cell.